KTeMo | PBE | optimized geometry

Lattice parameters (Å, degrees): 7.463 7.463 7.463 90.00 90.00 90.00
Space group F-43m (No. 216)
Symmetry-distinct sites (fractional):
K  0.000  0.000  0.000 [4 per cell]
Te  0.250  0.250  0.250 [4 per cell]
Mo  0.000  0.000  0.500 [4 per cell]

## Properties
Excess energy over the best structure of this formula in the dataset: 0.000 eV per formula unit
Final energy: -4.29 eV/atom